# BaSi2IrS8 (PBE, relaxed)
data_BaSi2IrS8
_space_group_name_H-M_alt 'P 1'
_space_group_IT_number 1
_cell_length_a 5.923
_cell_length_b 5.923
_cell_length_c 8.843
_cell_angle_alpha 90.00
_cell_angle_beta 90.00
_cell_angle_gamma 120.00
loop_
_space_group_symop_operation_xyz
'x,y,z'
loop_
_atom_site_label
_atom_site_type_symbol
_atom_site_fract_x
_atom_site_fract_y
_atom_site_fract_z
Ba1 Ba 0.000 0.000 0.000
Si1 Si 0.333 0.667 0.715
Si2 Si 0.667 0.333 0.285
Ir1 Ir 0.000 0.000 0.500
S1 S 0.021 0.686 0.345
S2 S 0.314 0.335 0.345
S3 S 0.333 0.667 0.953
S4 S 0.335 0.021 0.655
S5 S 0.665 0.979 0.345
S6 S 0.667 0.333 0.047
S7 S 0.686 0.665 0.655
S8 S 0.979 0.314 0.655
# formation energy without anion corrections: -679 kJ/mol of formula units
# DFT total energy: -61.68 eV/cell
# density of states at the Fermi level: 0.951 states/eV/atom
# mass density: 3.970 g/cm³